1.
Below is a relaxed LaTl2ReO6 crystal, with properties calculated at the GGA-PBE level.

The structure in POSCAR format:
```
LaTl2ReO6
1.0
-4.3551 -4.3177 -0.3001
1.2600 -0.8301 -6.3420
3.1971 -3.5340 4.4483
La Tl Re O
1 2 1 6
direct
0.5000 0.0000 0.0000 La
0.0275 0.3333 0.6667 Tl
0.9725 0.6667 0.3333 Tl
0.0000 0.0000 0.0000 Re
0.8099 0.1343 0.2686 O
0.8099 0.1343 0.8657 O
0.8099 0.7314 0.8657 O
0.1900 0.8657 0.1343 O
0.1900 0.2686 0.1343 O
0.1900 0.8657 0.7314 O
```

Results
Symmetry = P-3m1
Formation energy (no corrections) = -1713 meV/atom

2.
Below is a relaxed Rb2Cd7Ga crystal, with properties calculated at the GGA-PBE level.

The structure in POSCAR format:
```
Rb2Cd7Ga
1.0
-1.4908 2.7749 -3.6854
-3.9975 1.1561 2.4875
6.0816 10.0461 5.1042
Rb Cd Ga
2 7 1
direct
0.5000 0.0000 0.7559 Rb
0.0000 0.5000 0.2441 Rb
0.0000 0.5000 0.8707 Cd
0.5000 0.0000 0.3606 Cd
0.5000 0.0000 0.1293 Cd
0.0000 0.5000 0.6394 Cd
0.0000 0.0000 0.5000 Cd
0.0000 0.0000 0.0000 Cd
0.5000 0.5000 0.5000 Cd
0.5000 0.5000 0.0000 Ga
```

Results
Energy of formation from the pure elements = -0.03 eV/atom
Symmetry = P-4m2

3.
Below is a relaxed Sc2InCuH crystal, with properties calculated at the GGA-PBE level.

The structure in POSCAR format:
```
Sc2InCuH
1.0
-1.3359 4.1761 1.2783
-4.1738 -1.6143 0.9120
1.0892 -0.7636 3.6330
Sc H Cu In
2 1 1 1
direct
0.0000 0.5000 0.0000 Sc
0.5000 0.0000 0.0000 Sc
0.0000 0.0000 0.0000 H
0.0000 0.0000 0.5000 Cu
0.5000 0.5000 0.5000 In
```

Results
DFT total energy = -4.91 eV per atom
Symmetry = P4/mmm